Rb2Hg3Te2 | PBE | optimized geometry

Density of states at the Fermi level ... 0.02 states/eV per atom
Symmetry ... C2/m, No. 12
E_form (uncorrected) ... -501 meV/atom

a = 5.325 Å, b = 6.674 Å, c = 7.877 Å
α = 99.65°, β = 90.00°, γ = 113.51°
Element x y z (fractional)
Te: 0.827 0.655 0.710
Te: 0.173 0.345 0.290
Hg: 0.500 0.000 0.000
Hg: 0.606 0.212 0.454
Hg: 0.394 0.788 0.546
Rb: 0.866 0.733 0.216
Rb: 0.134 0.267 0.784



Rb2HgTe3 | PBE | optimized geometry

Density of states at the Fermi level ... 0.51 states/eV per atom
Symmetry ... P-3m1, No. 164
E_form (uncorrected) ... -449 meV/atom

a = 8.089 Å, b = 8.089 Å, c = 12.769 Å
α = 90.00°, β = 90.00°, γ = 120.00°
Element x y z (fractional)
Te: 0.136 0.272 0.250
Te: 0.864 0.136 0.750
Te: 0.864 0.728 0.750
Te: 0.728 0.864 0.250
Te: 0.272 0.136 0.750
Te: 0.136 0.864 0.250
Rb: 0.000 0.000 0.500
Rb: 0.667 0.333 0.251
Rb: 0.333 0.667 0.749
Rb: 0.000 0.000 0.000
Hg: 0.333 0.667 0.250
Hg: 0.667 0.333 0.750



Rb2HgTe | PBE | optimized geometry

Symmetry ... R3m, No. 160
E_form (uncorrected) ... -672 meV/atom

a = 5.747 Å, b = 5.747 Å, c = 8.520 Å
α = 70.29°, β = 70.29°, γ = 60.00°
Element x y z (fractional)
Te: 0.657 0.657 0.030
Rb: 0.058 0.058 0.825
Rb: 0.269 0.269 0.194
Hg: 0.516 0.516 0.451



Rb12Hg5Te3 | PBE | optimized geometry

Density of states at the Fermi level ... 0.85 states/eV per atom
Symmetry ... Ia-3d, No. 230
E_form (uncorrected) ... -372 meV/atom

a = 18.311 Å, b = 18.311 Å, c = 18.311 Å
α = 109.47°, β = 109.47°, γ = 109.47°
Element x y z (fractional)
Rb: 0.234 0.672 0.099
Rb: 0.438 0.672 0.073
Rb: 0.099 0.172 0.234
Rb: 0.099 0.927 0.366
Rb: 0.599 0.734 0.672
Rb: 0.734 0.599 0.172
Rb: 0.328 0.562 0.427
Rb: 0.266 0.866 0.938
Rb: 0.134 0.401 0.073
Rb: 0.328 0.766 0.401
Rb: 0.938 0.366 0.266
Rb: 0.672 0.438 0.573
Rb: 0.438 0.766 0.866
Rb: 0.366 0.938 0.766
Rb: 0.073 0.172 0.438
Rb: 0.828 0.901 0.266
Rb: 0.766 0.438 0.366
Rb: 0.172 0.073 0.938
Rb: 0.366 0.427 0.099
Rb: 0.266 0.401 0.828
Rb: 0.573 0.634 0.401
Rb: 0.062 0.634 0.734
Rb: 0.573 0.938 0.672
Rb: 0.599 0.866 0.427
Rb: 0.634 0.573 0.901
Rb: 0.234 0.562 0.634
Rb: 0.562 0.328 0.927
Rb: 0.562 0.234 0.134
Rb: 0.401 0.134 0.573
Rb: 0.427 0.366 0.599
Rb: 0.866 0.266 0.438
Rb: 0.672 0.234 0.599
Rb: 0.734 0.134 0.062
Rb: 0.901 0.828 0.766
Rb: 0.866 0.599 0.927
Rb: 0.766 0.328 0.901
Rb: 0.134 0.734 0.562
Rb: 0.901 0.073 0.634
Rb: 0.927 0.099 0.866
Rb: 0.938 0.573 0.172
Rb: 0.828 0.927 0.062
Rb: 0.927 0.828 0.562
Rb: 0.172 0.099 0.734
Rb: 0.073 0.901 0.134
Rb: 0.401 0.266 0.328
Rb: 0.427 0.062 0.328
Rb: 0.062 0.427 0.828
Rb: 0.634 0.062 0.234
Hg: 0.125 0.750 0.375
Hg: 0.625 0.875 0.250
Hg: 0.625 0.750 0.875
Hg: 0.000 0.500 0.000
Hg: 0.750 0.625 0.375
Hg: 0.000 0.000 0.000
Hg: 0.125 0.375 0.250
Hg: 0.875 0.250 0.625
Hg: 0.750 0.125 0.875
Hg: 0.000 0.500 0.500
Hg: 0.250 0.875 0.125
Hg: 0.500 0.500 0.500
Hg: 0.500 0.000 0.500
Hg: 0.250 0.375 0.625
Hg: 0.500 0.500 0.000
Hg: 0.000 0.000 0.500
Hg: 0.375 0.250 0.125
Hg: 0.500 0.000 0.000
Hg: 0.375 0.125 0.750
Hg: 0.875 0.625 0.750
Te: 0.750 0.375 0.125
Te: 0.125 0.250 0.875
Te: 0.750 0.875 0.625
Te: 0.125 0.875 0.750
Te: 0.625 0.375 0.750
Te: 0.250 0.625 0.875
Te: 0.375 0.625 0.250
Te: 0.875 0.125 0.250
Te: 0.875 0.750 0.125
Te: 0.250 0.125 0.375
Te: 0.625 0.250 0.375
Te: 0.375 0.750 0.625



Rb2Hg3Te2 | PBE | optimized geometry

Density of states at the Fermi level ... 0.05 states/eV per atom
Symmetry ... C2/m, No. 12
E_form (uncorrected) ... -490 meV/atom

a = 4.996 Å, b = 7.290 Å, c = 7.820 Å
α = 90.85°, β = 90.00°, γ = 110.04°
Element x y z (fractional)
Te: 0.161 0.323 0.251
Te: 0.839 0.677 0.749
Hg: 0.579 0.157 0.388
Hg: 0.500 0.000 0.000
Hg: 0.421 0.843 0.612
Rb: 0.861 0.722 0.250
Rb: 0.139 0.278 0.750



Rb2HgTe | PBE | optimized geometry

Density of states at the Fermi level ... 0.14 states/eV per atom
Symmetry ... P4/mmm, No. 123
E_form (uncorrected) ... -657 meV/atom

a = 4.826 Å, b = 5.867 Å, c = 5.867 Å
α = 90.00°, β = 90.00°, γ = 90.00°
Element x y z (fractional)
Rb: 0.000 0.000 0.500
Rb: 0.000 0.500 0.000
Te: 0.500 0.000 0.000
Hg: 0.500 0.500 0.500



RbHgTe | PBE | optimized geometry

Density of states at the Fermi level ... 0.02 states/eV per atom
Symmetry ... Cm, No. 8
E_form (uncorrected) ... -595 meV/atom

a = 4.865 Å, b = 7.288 Å, c = 7.345 Å
α = 92.18°, β = 70.66°, γ = 109.49°
Element x y z (fractional)
Te: 0.625 0.020 0.022
Te: 0.588 0.501 0.578
Rb: 0.014 0.166 0.390
Rb: 0.912 0.580 0.009
Hg: 0.290 0.120 0.791
Hg: 0.257 0.795 0.532



Rb2Hg3Te | PBE | optimized geometry

Symmetry ... Fmmm, No. 69
E_form (uncorrected) ... -446 meV/atom

a = 6.790 Å, b = 6.790 Å, c = 11.331 Å
α = 102.75°, β = 102.75°, γ = 105.29°
Element x y z (fractional)
Hg: 0.167 0.167 0.334
Hg: 0.326 0.841 0.167
Hg: 0.841 0.326 0.167
Hg: 0.674 0.159 0.833
Hg: 0.159 0.674 0.833
Hg: 0.833 0.833 0.666
Rb: 0.251 0.251 0.000
Rb: 0.749 0.749 0.000
Rb: 0.250 0.750 0.500
Rb: 0.750 0.250 0.500
Te: 0.345 0.345 0.690
Te: 0.655 0.655 0.310



Rb4Th3HgTe8 | PBE | optimized geometry

Density of states at the Fermi level ... 0.14 states/eV per atom
Symmetry ... R-3m, No. 166
E_form (uncorrected) ... -1076 meV/atom

a = 9.587 Å, b = 9.978 Å, c = 9.587 Å
α = 118.72°, β = 120.00°, γ = 90.00°
Element x y z (fractional)
Te: 0.707 0.696 0.952
Te: 0.756 0.304 0.048
Te: 0.293 0.304 0.048
Te: 0.264 0.293 0.528
Te: 0.244 0.696 0.488
Te: 0.736 0.707 0.472
Te: 0.756 0.304 0.512
Te: 0.244 0.696 0.952
Th: 0.000 0.500 0.500
Th: 0.500 0.500 0.000
Th: 0.500 0.500 0.500
Rb: 0.500 0.000 0.000
Rb: 0.000 0.000 0.500
Rb: 0.500 0.000 0.500
Rb: 0.000 0.000 0.000
Hg: 0.000 0.500 0.000



RbTiHgTe2 | PBE | optimized geometry

Density of states at the Fermi level ... 0.43 states/eV per atom
Symmetry ... P4/mmm, No. 123
E_form (uncorrected) ... -537 meV/atom

a = 5.464 Å, b = 5.464 Å, c = 5.543 Å
α = 90.00°, β = 90.00°, γ = 90.00°
Element x y z (fractional)
Te: 0.000 0.500 0.000
Te: 0.500 0.000 0.000
Hg: 0.000 0.000 0.500
Rb: 0.500 0.500 0.500
Ti: 0.000 0.000 0.000



RbTlHgTe | PBE | optimized geometry

Symmetry ... F-43m, No. 216
E_form (uncorrected) ... -470 meV/atom

a = 5.936 Å, b = 5.936 Å, c = 5.936 Å
α = 60.00°, β = 60.00°, γ = 60.00°
Element x y z (fractional)
Rb: 0.500 0.500 0.500
Hg: 0.750 0.750 0.750
Tl: 0.000 0.000 0.000
Te: 0.250 0.250 0.250



RbTlHgTe3 | PBE | optimized geometry

Density of states at the Fermi level ... 0.12 states/eV per atom
Symmetry ... P2_1/m, No. 11
E_form (uncorrected) ... -327 meV/atom

a = 4.467 Å, b = 8.682 Å, c = 12.327 Å
α = 106.41°, β = 90.00°, γ = 90.00°
Element x y z (fractional)
Te: 0.750 0.481 0.154
Te: 0.750 0.235 0.552
Te: 0.250 0.053 0.855
Te: 0.250 0.765 0.448
Te: 0.250 0.519 0.846
Te: 0.750 0.947 0.145
Hg: 0.250 0.085 0.631
Hg: 0.750 0.915 0.369
Rb: 0.250 0.292 0.321
Rb: 0.750 0.708 0.679
Tl: 0.250 0.695 0.085
Tl: 0.750 0.305 0.915